A plane-wave DFT calculation with PBE-GGA was carried out for a relaxed structure of SmVI.

abc: 3.924 21.208 4.198
angles: 90.00 90.00 90.00
Space group Cmcm (No. 63)
One atom of each set of equivalent atoms:
Sm 0.000 0.088 0.250 x4
V 0.000 0.479 0.250 x4
I 0.000 0.334 0.250 x4

Results
* energy relative to the elements, uncorrected: -0.344 eV/atom
* E: -5.47 eV per atom

=====

A plane-wave DFT calculation with PBE-GGA was carried out for a relaxed structure of ScHg3Au.

abc: 5.575 5.575 5.575
angles: 90.00 90.00 90.00
Space group Pm-3m (No. 221)
One atom of each set of equivalent atoms:
Sc 0.000 0.000 0.000 x1
Hg 0.000 0.000 0.500 x3
Au 0.500 0.500 0.500 x1

Results
* E: -1.58 eV per atom

=====

A plane-wave DFT calculation with PBE-GGA was carried out for a relaxed structure of K2PtN.

abc: 11.768 11.768 3.779
angles: 90.00 90.00 90.00
Space group I4_1/amd (No. 141, origin choice 2)
One atom of each set of equivalent atoms:
K 0.000 0.000 0.000 x8
Pt 0.000 0.250 0.375 x4
N 0.000 0.250 0.875 x4

Results
* energy relative to the elements, uncorrected: -0.155 eV/atom
* E: -4.30 eV per atom

=====

A plane-wave DFT calculation with PBE-GGA was carried out for a relaxed structure of ScTiAs2Se.

abc: 4.850 4.850 4.926
angles: 90.00 90.00 90.00
Space group P4/mmm (No. 123)
One atom of each set of equivalent atoms:
Sc 0.000 0.000 0.000 x1
Ti 0.500 0.500 0.500 x1
As 0.000 0.500 0.500 x2
Se 0.500 0.500 0.000 x1

Results
* energy relative to the elements, uncorrected: -0.314 eV/atom
* E: -5.72 eV per atom

=====

A plane-wave DFT calculation with PBE-GGA was carried out for a relaxed structure of HfTc4.

abc: 4.660 4.660 4.660
angles: 90.00 90.00 90.00
Space group Pm-3m (No. 221)
One atom of each set of equivalent atoms:
Hf 0.000 0.000 0.000 x1
Tc 0.000 0.000 0.500 x3
Tc 0.500 0.500 0.500 x1

Results
* E: -8.20 eV per atom

=====

A plane-wave DFT calculation with PBE-GGA was carried out for a relaxed structure of LiHg2Os.

abc: 6.538 6.538 6.538
angles: 90.00 90.00 90.00
Space group F-43m (No. 216)
One atom of each set of equivalent atoms:
Li 0.000 0.000 0.000 x4
Hg 0.000 0.000 0.500 x4
Hg 0.250 0.250 0.750 x4
Os 0.250 0.250 0.250 x4

Results
* E: -2.75 eV per atom